Record 1
Material: ZrZnPt
Method: DFT, GGA-PBE
State: relaxed

Lattice parameters (Å, degrees): 4.4738 4.4738 4.4738 60.00 60.00 60.00
With the nearest neighbours (Å) after each atom.
Fractional coordinates of all 3 atoms:
Zr 0.7500 0.7500 0.7500  4 Pt 2.74, 4 Zn 2.74
Zn 0.5000 0.5000 0.5000  4 Zr 2.74
Pt 0.0000 0.0000 0.0000  4 Zr 2.74

## Properties
magnetization	0.000	μB/atom
DFT formation energy	-0.200	eV per atom

=====

Record 2
Material: CdRe2Rh2
Method: DFT, GGA-PBE
State: relaxed

Lattice parameters (Å, degrees): 7.7345 7.7345 2.7378 90.00 90.00 90.00
With the nearest neighbours (Å) after each atom.
Fractional coordinates of all 10 atoms:
Rh 0.8300 0.3300 0.5000  6 Re 2.65-2.69, 2 Rh 2.74
Re 0.8817 0.6183 0.0000  3 Re 2.59-2.74, 6 Rh 2.65-2.69
Re 0.6183 0.1183 0.0000  3 Re 2.59-2.74, 6 Rh 2.65-2.69
Cd 0.0000 0.0000 0.0000  2 Cd 2.74
Rh 0.3300 0.1700 0.5000  6 Re 2.65-2.69, 2 Rh 2.74
Re 0.1183 0.3817 0.0000  3 Re 2.59-2.74, 6 Rh 2.65-2.69
Re 0.3817 0.8817 0.0000  3 Re 2.59-2.74, 6 Rh 2.65-2.69
Rh 0.1700 0.6700 0.5000  6 Re 2.65-2.69, 2 Rh 2.74
Cd 0.5000 0.5000 0.0000  2 Cd 2.74
Rh 0.6700 0.8300 0.5000  6 Re 2.65-2.69, 2 Rh 2.74

## Properties
magnetization	0.000	μB/atom
DFT formation energy	0.208	eV per atom
excess energy over the best structure of this formula in the dataset	0	meV per atom

=====

Record 3
Material: TmPuTlTc
Method: DFT, GGA-PBE
State: relaxed

Lattice parameters (Å, degrees): 3.3146 3.3146 8.4531 90.00 90.00 90.00
With the nearest neighbours (Å) after each atom.
Fractional coordinates of all 4 atoms:
Tl 0.0000 0.0000 0.0707  4 Tl 3.31, 4 Tm 3.41, 4 Pu 3.44
Tm 0.5000 0.5000 0.7784  4 Tc 2.95
Pu 0.5000 0.5000 0.3691  4 Tc 2.88
Tc 0.0000 0.0000 0.5665  4 Pu 2.88, 4 Tm 2.95

## Properties
magnetization	1.090	μB/atom
DFT formation energy	-0.109	eV per atom